Arrangement a

Below is a relaxed structure of Y3ScF, with properties calculated at the PBE level.

Computed properties:
SG = No. 221
total magnetic moment = 0.000 μB/atom

Unit cell a=5.579 b=5.579 c=5.579 alpha=90.00 beta=90.00 gamma=90.00
Positions (direct):
Y (0.000, 0.500, 0.000)
Y (0.000, 0.000, 0.500)
Y (0.500, 0.000, 0.000)
Sc (0.000, 0.000, 0.000)
F (0.500, 0.500, 0.500)

Arrangement b

Below is a relaxed structure of Y3ScF, with properties calculated at the PBE level.

Computed properties:
SG = No. 221
total magnetic moment = 0.000 μB/atom

Unit cell a=4.977 b=4.977 c=4.977 alpha=90.00 beta=90.00 gamma=90.00
Positions (direct):
Y (0.000, 0.500, 0.000)
Y (0.000, 0.000, 0.500)
Y (0.500, 0.000, 0.000)
Sc (0.500, 0.500, 0.500)
F (0.000, 0.000, 0.000)

Most stable to least stable, the ends of the list are arrangement b and arrangement a.

Arrangement a

Below is a relaxed structure of ScZn3F, with properties calculated at the PBE level.

Computed properties:
SG = No. 221
total magnetic moment = 0.000 μB/atom

Unit cell a=5.498 b=5.498 c=5.498 alpha=90.00 beta=90.00 gamma=90.00
Positions (direct):
Sc (0.000, 0.000, 0.000)
Zn (0.000, 0.500, 0.000)
Zn (0.000, 0.000, 0.500)
Zn (0.500, 0.000, 0.000)
F (0.500, 0.500, 0.500)

Arrangement b

Below is a relaxed structure of ScZn3F, with properties calculated at the PBE level.

Computed properties:
SG = No. 221
total magnetic moment = 0.000 μB/atom

Unit cell a=4.457 b=4.457 c=4.457 alpha=90.00 beta=90.00 gamma=90.00
Positions (direct):
Sc (0.500, 0.500, 0.500)
Zn (0.000, 0.500, 0.000)
Zn (0.000, 0.000, 0.500)
Zn (0.500, 0.000, 0.000)
F (0.000, 0.000, 0.000)

Most stable to least stable, the ends of the list are arrangement b and arrangement a.

Arrangement a

Below is a relaxed structure of Sc2ZnF, with properties calculated at the PBE level.

Computed properties:
SG = No. 166
total magnetic moment = 0.000 μB/atom

Unit cell a=8.477 b=8.477 c=8.477 alpha=22.79 beta=22.79 gamma=22.79
Positions (direct):
Sc (0.918, 0.918, 0.918)
Sc (0.082, 0.082, 0.082)
Zn (0.500, 0.500, 0.500)
F (0.000, 0.000, 0.000)

Arrangement b

Below is a relaxed structure of Sc2ZnF, with properties calculated at the PBE level.

Computed properties:
SG = No. 166
total magnetic moment = 0.000 μB/atom

Unit cell a=9.379 b=9.379 c=9.379 alpha=18.62 beta=18.62 gamma=18.62
Positions (direct):
Sc (0.897, 0.897, 0.897)
Sc (0.103, 0.103, 0.103)
Zn (0.000, 0.000, 0.000)
F (0.500, 0.500, 0.500)

Most stable to least stable, the ends of the list are arrangement a and arrangement b.

Arrangement a

Below is a relaxed structure of Zr2ScF, with properties calculated at the PBE level.

Computed properties:
SG = No. 122
total magnetic moment = 0.000 μB/atom

Unit cell a=7.538 b=7.538 c=6.023 alpha=51.26 beta=51.26 gamma=90.00
Positions (direct):
Sc (0.000, 0.000, 0.000)
Sc (0.750, 0.250, 0.500)
Zr (0.532, 0.125, 0.250)
Zr (0.218, 0.625, 0.250)
Zr (0.375, 0.468, 0.750)
Zr (0.875, 0.782, 0.750)
F (0.500, 0.500, 0.000)
F (0.250, 0.750, 0.500)

Arrangement b

Below is a relaxed structure of Zr2ScF, with properties calculated at the PBE level.

Computed properties:
SG = No. 225
total magnetic moment = 0.000 μB/atom

Unit cell a=4.892 b=4.892 c=4.892 alpha=60.00 beta=60.00 gamma=60.00
Positions (direct):
Sc (0.500, 0.500, 0.500)
Zr (0.250, 0.250, 0.250)
Zr (0.750, 0.750, 0.750)
F (0.000, 0.000, 0.000)

Most stable to least stable, the ends of the list are arrangement a and arrangement b.

Arrangement a

Below is a relaxed structure of SiSeF2, with properties calculated at the PBE level.

Computed properties:
SG = No. 122
total magnetic moment = 0.000 μB/atom

Unit cell a=3.774 b=3.774 c=8.272 alpha=76.81 beta=76.81 gamma=90.00
Positions (direct):
Si (0.500, 0.500, 0.000)
Si (0.250, 0.750, 0.500)
Se (0.000, 0.000, 0.000)
Se (0.750, 0.250, 0.500)
F (0.600, 0.125, 0.250)
F (0.150, 0.625, 0.250)
F (0.375, 0.400, 0.750)
F (0.875, 0.850, 0.750)

Arrangement b

Below is a relaxed structure of SiSeF2, with properties calculated at the PBE level.

Computed properties:
SG = No. 166
total magnetic moment = 0.000 μB/atom

Unit cell a=10.148 b=10.148 c=10.148 alpha=15.68 beta=15.68 gamma=15.68
Positions (direct):
Si (0.000, 0.000, 0.000)
Se (0.500, 0.500, 0.500)
F (0.946, 0.946, 0.946)
F (0.054, 0.054, 0.054)

Most stable to least stable, the ends of the list are arrangement b and arrangement a.

Arrangement a

Below is a relaxed structure of Si3SeF, with properties calculated at the PBE level.

Computed properties:
SG = No. 221
total magnetic moment = 0.000 μB/atom

Unit cell a=4.983 b=4.983 c=4.983 alpha=90.00 beta=90.00 gamma=90.00
Positions (direct):
Si (0.000, 0.500, 0.000)
Si (0.000, 0.000, 0.500)
Si (0.500, 0.000, 0.000)
Se (0.000, 0.000, 0.000)
F (0.500, 0.500, 0.500)

Arrangement b

Below is a relaxed structure of Si3SeF, with properties calculated at the PBE level.

Computed properties:
SG = No. 221
total magnetic moment = 0.000 μB/atom

Unit cell a=4.520 b=4.520 c=4.520 alpha=90.00 beta=90.00 gamma=90.00
Positions (direct):
Si (0.000, 0.500, 0.000)
Si (0.000, 0.000, 0.500)
Si (0.500, 0.000, 0.000)
Se (0.500, 0.500, 0.500)
F (0.000, 0.000, 0.000)

Most stable to least stable, the ends of the list are arrangement b and arrangement a.

Arrangement a

Below is a relaxed structure of SiSeF3, with properties calculated at the PBE level.

Computed properties:
SG = No. 221
total magnetic moment = 0.501 μB/atom

Unit cell a=4.174 b=4.174 c=4.174 alpha=90.00 beta=90.00 gamma=90.00
Each line ends with the local moment (μB).
Positions (direct):
Si (0.000, 0.000, 0.000)  0.07
Se (0.500, 0.500, 0.500)  1.36
F (0.000, 0.500, 0.000)  0.07
F (0.000, 0.000, 0.500)  0.10
F (0.500, 0.000, 0.000)  0.11

Arrangement b

Below is a relaxed structure of SiSeF3, with properties calculated at the PBE level.

Computed properties:
SG = No. 221
total magnetic moment = 0.000 μB/atom

Unit cell a=4.412 b=4.412 c=4.412 alpha=90.00 beta=90.00 gamma=90.00
Positions (direct):
Si (0.500, 0.500, 0.500)
Se (0.000, 0.000, 0.000)
F (0.000, 0.500, 0.000)
F (0.000, 0.000, 0.500)
F (0.500, 0.000, 0.000)

Most stable to least stable, the ends of the list are arrangement a and arrangement b.

Arrangement a

Below is a relaxed structure of Sm2Se2F, with properties calculated at the PBE level.

Computed properties:
SG = No. 12
total magnetic moment = 0.000 μB/atom

Unit cell a=4.268 b=7.464 c=10.167 alpha=95.82 beta=102.12 gamma=90.00
Positions (direct):
Sm (0.157, 0.877, 0.315)
Sm (0.843, 0.123, 0.685)
Sm (0.335, 0.604, 0.670)
Sm (0.665, 0.396, 0.330)
Se (0.099, 0.201, 0.199)
Se (0.901, 0.799, 0.801)
Se (0.410, 0.308, 0.821)
Se (0.590, 0.692, 0.179)
F (0.217, 0.577, 0.435)
F (0.783, 0.423, 0.565)

Arrangement b

Below is a relaxed structure of Sm2Se2F, with properties calculated at the PBE level.

Computed properties:
SG = No. 123
total magnetic moment = 0.000 μB/atom

Unit cell a=3.641 b=3.641 c=12.199 alpha=90.00 beta=90.00 gamma=90.00
Positions (direct):
Sm (0.500, 0.500, 0.182)
Sm (0.500, 0.500, 0.818)
Se (0.500, 0.500, 0.592)
Se (0.500, 0.500, 0.408)
F (0.500, 0.500, 0.000)

Most stable to least stable, the ends of the list are arrangement a and arrangement b.

Arrangement a

Below is a relaxed structure of SnSe3F, with properties calculated at the PBE level.

Computed properties:
SG = No. 221
total magnetic moment = 0.000 μB/atom

Unit cell a=4.768 b=4.768 c=4.768 alpha=90.00 beta=90.00 gamma=90.00
Positions (direct):
Sn (0.500, 0.500, 0.500)
Se (0.000, 0.500, 0.000)
Se (0.000, 0.000, 0.500)
Se (0.500, 0.000, 0.000)
F (0.000, 0.000, 0.000)

Arrangement b

Below is a relaxed structure of SnSe3F, with properties calculated at the PBE level.

Computed properties:
SG = No. 221
total magnetic moment = 0.500 μB/atom

Unit cell a=5.296 b=5.296 c=5.296 alpha=90.00 beta=90.00 gamma=90.00
Each line ends with the local moment (μB).
Positions (direct):
Sn (0.000, 0.000, 0.000)  0.03
Se (0.000, 0.500, 0.000)  -0.43
Se (0.000, 0.000, 0.500)  -0.51
Se (0.500, 0.000, 0.000)  -0.39
F (0.500, 0.500, 0.500)  -0.40

Most stable to least stable, the ends of the list are arrangement a and arrangement b.

Arrangement a

Below is a relaxed structure of SnSeF, with properties calculated at the PBE level.

Computed properties:
SG = No. 58
total magnetic moment = 0.000 μB/atom

Unit cell a=3.910 b=5.492 c=12.929 alpha=90.00 beta=90.00 gamma=90.00
Positions (direct):
F (0.500, 0.247, 0.596)
F (0.000, 0.747, 0.904)
F (0.000, 0.253, 0.096)
F (0.500, 0.753, 0.404)
Se (0.500, 0.247, 0.851)
Se (0.000, 0.747, 0.649)
Se (0.500, 0.753, 0.149)
Se (0.000, 0.253, 0.351)
Sn (0.500, 0.253, 0.184)
Sn (0.000, 0.247, 0.684)
Sn (0.000, 0.753, 0.316)
Sn (0.500, 0.747, 0.816)

Arrangement b

Below is a relaxed structure of SnSeF, with properties calculated at the PBE level.

Computed properties:
SG = No. 12
total magnetic moment = 0.000 μB/atom

Unit cell a=4.641 b=4.582 c=8.123 alpha=76.34 beta=90.00 gamma=120.42
Positions (direct):
Sn (0.817, 0.634, 0.668)
Sn (0.183, 0.366, 0.332)
Se (0.533, 0.065, 0.136)
Se (0.467, 0.935, 0.864)
F (0.712, 0.423, 0.431)
F (0.288, 0.577, 0.569)

Most stable to least stable, the ends of the list are arrangement b and arrangement a.

Arrangement a

Below is a relaxed structure of SnSeF, with properties calculated at the PBE level.

Computed properties:
SG = No. 107
total magnetic moment = 0.000 μB/atom

Unit cell a=3.886 b=3.886 c=6.577 alpha=107.18 beta=107.18 gamma=90.00
Positions (direct):
Sn (0.487, 0.487, 0.974)
Se (0.040, 0.040, 0.081)
F (0.323, 0.323, 0.645)

Arrangement b

Below is a relaxed structure of SnSeF, with properties calculated at the PBE level.

Computed properties:
SG = No. 156
total magnetic moment = 0.000 μB/atom

Unit cell a=4.496 b=4.023 c=4.023 alpha=120.00 beta=90.00 gamma=90.00
Positions (direct):
Sn (0.281, 0.667, 0.333)
Se (0.617, 0.333, 0.667)
F (0.102, 0.000, 0.000)

Most stable to least stable, the ends of the list are arrangement a and arrangement b.

Arrangement a

Below is a relaxed structure of SnSeF3, with properties calculated at the PBE level.

Computed properties:
SG = No. 221
total magnetic moment = 0.477 μB/atom

Unit cell a=4.495 b=4.495 c=4.495 alpha=90.00 beta=90.00 gamma=90.00
Each line ends with the local moment (μB).
Positions (direct):
Sn (0.000, 0.000, 0.000)  0.10
Se (0.500, 0.500, 0.500)  1.28
F (0.000, 0.500, 0.000)  0.06
F (0.000, 0.000, 0.500)  0.06
F (0.500, 0.000, 0.000)  0.10

Arrangement b

Below is a relaxed structure of SnSeF3, with properties calculated at the PBE level.

Computed properties:
SG = No. 221
total magnetic moment = 0.000 μB/atom

Unit cell a=4.513 b=4.513 c=4.513 alpha=90.00 beta=90.00 gamma=90.00
Positions (direct):
Sn (0.500, 0.500, 0.500)
Se (0.000, 0.000, 0.000)
F (0.000, 0.500, 0.000)
F (0.000, 0.000, 0.500)
F (0.500, 0.000, 0.000)

Most stable to least stable, the ends of the list are arrangement a and arrangement b.